A geometry-optimized CdTe2P structure. Source: the Alexandria database, functional PBE.

Geometry as POSCAR:
```
CdTe2P
1.0
8.6095 -0.0009 -0.0005
7.4947 4.2371 -0.0005
7.4947 1.9715 3.7505
Te Cd P
2 1 1
Direct
0.8992 0.8992 0.8992
0.1008 0.1008 0.1008
0.5000 0.5000 0.5000
0.0000 0.0000 0.0000
```

Results
**Energy relative to the lowest polymorph listed for this composition**: 0.354 eV/atom
**E_form (uncorrected)**: 375 meV per atom
**Volume**: 34.22 Å³/atom
**Crystal system**: trigonal
**Density of states at the Fermi level**: 2.02 states/eV/cell
**Total energy**: -2.78 eV per atom